Entry 1:
Compound: NpIn3Cl7
Source: Alexandria via LeMat-Bulk
Functional: PBE
Structure: relaxed

Lattice parameters (Å, degrees): 7.2310 7.2310 8.1577 68.74 68.74 85.57
Last column: magnetic moment on the atom in μB.
Fractional coordinates of all 11 atoms:
Np 0.9540 0.9540 0.0312  3.20
In 0.7835 0.2599 0.4789  -0.01
In 0.5246 0.5246 0.9773  0.00
In 0.2599 0.7835 0.4789  -0.01
Cl 0.1226 0.1226 0.1907  -0.03
Cl 0.6310 0.0890 0.2465  -0.03
Cl 0.9506 0.3146 0.7926  -0.04
Cl 0.0890 0.6310 0.2465  -0.03
Cl 0.6368 0.6368 0.2359  -0.01
Cl 0.3146 0.9506 0.7926  -0.04
Cl 0.8583 0.8583 0.7788  -0.03

Calculated values
Energy ... -47.350 eV/cell
Crystal system ... monoclinic

=====

Entry 2:
Compound: Np2In5Cl12
Source: Alexandria via LeMat-Bulk
Functional: PBE
Structure: relaxed

Lattice parameters (Å, degrees): 8.1206 9.3924 9.3924 62.54 70.72 70.72
Last column: magnetic moment on the atom in μB.
Fractional coordinates of all 19 atoms:
Np 0.0000 0.7535 0.2465  3.57
Np 0.0000 0.2465 0.7535  3.57
In 0.9831 0.2600 0.2600  0.00
In 0.4969 0.3406 0.3406  0.00
In 0.5000 0.0000 0.0000  -0.01
In 0.5031 0.6594 0.6594  0.00
In 0.0169 0.7400 0.7400  0.00
Cl 0.1883 0.9167 0.9167  -0.03
Cl 0.2412 0.1373 0.5181  -0.02
Cl 0.2412 0.5181 0.1373  -0.02
Cl 0.8040 0.0964 0.6999  -0.02
Cl 0.8040 0.6999 0.0964  -0.02
Cl 0.8217 0.4809 0.4809  -0.03
Cl 0.1783 0.5191 0.5191  -0.03
Cl 0.1960 0.9036 0.3001  -0.02
Cl 0.1960 0.3001 0.9036  -0.02
Cl 0.7588 0.8627 0.4819  -0.02
Cl 0.7588 0.4819 0.8627  -0.02
Cl 0.8117 0.0833 0.0833  -0.03

Calculated values
Energy ... -85.093 eV/cell
Crystal system ... monoclinic

=====

Entry 3:
Compound: NpInCl5
Source: Alexandria via LeMat-Bulk
Functional: PBE
Structure: relaxed

Lattice parameters (Å, degrees): 7.5223 7.5223 10.5003 70.52 70.52 71.03
Last column: magnetic moment on the atom in μB.
Fractional coordinates of all 14 atoms:
Np 0.0000 0.0000 0.0000  3.18
Np 0.0000 0.0000 0.5000  3.18
In 0.5264 0.4736 0.7500  -0.02
In 0.4736 0.5264 0.2500  -0.02
Cl 0.2956 0.1452 0.8772  -0.05
Cl 0.3409 0.7753 0.5172  -0.04
Cl 0.1452 0.2956 0.3772  -0.05
Cl 0.9175 0.0825 0.7500  -0.03
Cl 0.2247 0.6591 0.9828  -0.04
Cl 0.7753 0.3409 0.0172  -0.04
Cl 0.0825 0.9175 0.2500  -0.03
Cl 0.8548 0.7044 0.6228  -0.05
Cl 0.6591 0.2247 0.4828  -0.04
Cl 0.7044 0.8548 0.1228  -0.05

Calculated values
Energy ... -69.486 eV/cell
Crystal system ... monoclinic

=====

Entry 4:
Compound: Np2InCl11
Source: Alexandria via LeMat-Bulk
Functional: PBE
Structure: relaxed

Lattice parameters (Å, degrees): 12.2104 11.0672 11.0672 67.48 56.52 56.52
Last column: magnetic moment on the atom in μB.
Fractional coordinates of all 28 atoms:
Np 0.6573 0.6556 0.3444  2.43
Np 0.3427 0.3444 0.6556  2.43
Np 0.8427 0.1556 0.8444  2.43
Np 0.1573 0.8444 0.1556  2.43
In 0.7500 0.7500 0.7500  -0.01
In 0.2500 0.2500 0.2500  -0.01
Cl 0.6332 0.6835 0.5741  -0.07
Cl 0.3668 0.3165 0.4259  -0.07
Cl 0.1092 0.5741 0.6835  -0.07
Cl 0.8668 0.9259 0.8165  -0.07
Cl 0.8908 0.4259 0.3165  -0.07
Cl 0.1332 0.0741 0.1835  -0.07
Cl 0.3908 0.8165 0.9259  -0.07
Cl 0.6092 0.1835 0.0741  -0.07
Cl 0.5000 0.5000 0.5000  -0.06
Cl 0.0000 0.0000 0.0000  -0.06
Cl 0.7988 0.7972 0.2028  -0.07
Cl 0.2012 0.2028 0.7972  -0.07
Cl 0.7012 0.2972 0.7028  -0.07
Cl 0.2988 0.7028 0.2972  -0.07
Cl 0.4268 0.8878 0.3705  -0.07
Cl 0.5732 0.1122 0.6295  -0.07
Cl 0.3149 0.3705 0.8878  -0.07
Cl 0.0732 0.1295 0.6122  -0.07
Cl 0.6851 0.6295 0.1122  -0.07
Cl 0.9268 0.8705 0.3878  -0.07
Cl 0.1851 0.6122 0.1295  -0.07
Cl 0.8149 0.3878 0.8705  -0.07

Calculated values
Energy ... -135.505 eV/cell
Crystal system ... orthorhombic

=====

Entry 5:
Compound: NpInPbCl6
Source: Alexandria via LeMat-Bulk
Functional: PBE
Structure: relaxed

Lattice parameters (Å, degrees): 7.4550 7.4550 13.3059 90.00 90.00 120.00
Last column: magnetic moment on the atom in μB.
Fractional coordinates of all 18 atoms:
Np 0.6667 0.3333 0.2500  3.97
Np 0.3333 0.6667 0.7500  3.97
In 0.0000 0.0000 0.0000  0.00
In 0.0000 0.0000 0.5000  0.00
Pb 0.3333 0.6667 0.2500  0.01
Pb 0.6667 0.3333 0.7500  0.01
Cl 0.6464 0.6284 0.1350  -0.02
Cl 0.9821 0.3536 0.1350  -0.02
Cl 0.3536 0.9821 0.6350  -0.02
Cl 0.0179 0.6464 0.8650  -0.02
Cl 0.3716 0.3536 0.3650  -0.02
Cl 0.9821 0.6284 0.3650  -0.02
Cl 0.6284 0.9821 0.8650  -0.02
Cl 0.6464 0.0179 0.3650  -0.02
Cl 0.0179 0.3716 0.6350  -0.02
Cl 0.3716 0.0179 0.1350  -0.02
Cl 0.6284 0.6464 0.6350  -0.02
Cl 0.3536 0.3716 0.8650  -0.02

Calculated values
Energy ... -84.973 eV/cell
Crystal system ... trigonal

=====

Entry 6:
Compound: PuNpInCl6
Source: Alexandria via LeMat-Bulk
Functional: PBE
Structure: relaxed

Lattice parameters (Å, degrees): 7.2493 7.2493 13.7584 90.00 90.00 120.00
Last column: magnetic moment on the atom in μB.
Fractional coordinates of all 18 atoms:
Pu 0.3333 0.6667 0.2500  5.53
Pu 0.6667 0.3333 0.7500  5.53
Np 0.6667 0.3333 0.2500  4.21
Np 0.3333 0.6667 0.7500  4.21
In 0.0000 0.0000 0.0000  0.01
In 0.0000 0.0000 0.5000  0.01
Cl 0.6347 0.6314 0.1369  -0.03
Cl 0.9967 0.3653 0.1369  -0.03
Cl 0.3653 0.9967 0.6369  -0.03
Cl 0.0033 0.6347 0.8631  -0.03
Cl 0.3686 0.3653 0.3631  -0.03
Cl 0.9967 0.6314 0.3631  -0.03
Cl 0.6314 0.9967 0.8631  -0.03
Cl 0.6347 0.0033 0.3631  -0.03
Cl 0.0033 0.3686 0.6369  -0.03
Cl 0.3686 0.0033 0.1369  -0.03
Cl 0.6314 0.6347 0.6369  -0.03
Cl 0.3653 0.3686 0.8631  -0.03

Calculated values
Energy ... -110.378 eV/cell
Crystal system ... trigonal

=====

Entry 7:
Compound: Rb2NpInCl8
Source: Alexandria via LeMat-Bulk
Functional: PBE
Structure: relaxed

Lattice parameters (Å, degrees): 7.3009 7.3009 8.5216 115.36 115.36 90.00
Last column: magnetic moment on the atom in μB.
Fractional coordinates of all 12 atoms:
Rb 0.7500 0.2500 0.5000  0.00
Rb 0.0000 0.0000 0.0000  0.00
Np 0.2500 0.7500 0.5000  3.10
In 0.5000 0.5000 0.0000  -0.07
Cl 0.1571 0.6403 0.7369  -0.04
Cl 0.5798 0.6403 0.7369  -0.04
Cl 0.3597 0.4202 0.2631  -0.04
Cl 0.9034 0.8429 0.2631  -0.04
Cl 0.5798 0.0966 0.7369  -0.04
Cl 0.3597 0.8429 0.2631  -0.04
Cl 0.1571 0.0966 0.7369  -0.04
Cl 0.9034 0.4202 0.2631  -0.04

Calculated values
Energy ... -50.153 eV/cell
Crystal system ... tetragonal

=====

Entry 8:
Compound: RbNpIn2Cl6
Source: Alexandria via LeMat-Bulk
Functional: PBE
Structure: relaxed

Lattice parameters (Å, degrees): 7.9265 7.9269 8.2223 61.15 61.16 59.96
Last column: magnetic moment on the atom in μB.
Fractional coordinates of all 10 atoms:
Rb 0.8106 0.8108 0.5677  0.00
Np 0.3213 0.3213 0.0361  3.95
In 0.5233 0.5233 0.4303  0.00
In 0.0186 0.0187 0.9441  0.00
Cl 0.5685 0.2029 0.2428  -0.02
Cl 0.2027 0.9858 0.2432  -0.02
Cl 0.9857 0.5689 0.2427  -0.02
Cl 0.4100 0.6747 0.7692  -0.01
Cl 0.6750 0.1453 0.7698  -0.01
Cl 0.1459 0.4100 0.7694  -0.01

Calculated values
Energy ... -44.690 eV/cell
Crystal system ... trigonal

=====

Entry 9:
Compound: NpInSnCl6
Source: Alexandria via LeMat-Bulk
Functional: PBE
Structure: relaxed

Lattice parameters (Å, degrees): 7.3888 7.3888 13.3687 90.00 90.00 120.00
Last column: magnetic moment on the atom in μB.
Fractional coordinates of all 18 atoms:
Np 0.6667 0.3333 0.2500  3.97
Np 0.3333 0.6667 0.7500  3.97
In 0.0000 0.0000 0.0000  0.00
In 0.0000 0.0000 0.5000  0.00
Sn 0.3333 0.6667 0.2500  0.01
Sn 0.6667 0.3333 0.7500  0.01
Cl 0.6424 0.6298 0.1363  -0.02
Cl 0.9874 0.3576 0.1363  -0.02
Cl 0.3576 0.9874 0.6363  -0.02
Cl 0.0126 0.6424 0.8637  -0.02
Cl 0.3702 0.3576 0.3637  -0.02
Cl 0.9874 0.6298 0.3637  -0.02
Cl 0.6298 0.9874 0.8637  -0.02
Cl 0.6424 0.0126 0.3637  -0.02
Cl 0.0126 0.3702 0.6363  -0.02
Cl 0.3702 0.0126 0.1363  -0.02
Cl 0.6298 0.6424 0.6363  -0.02
Cl 0.3576 0.3702 0.8637  -0.02

Calculated values
Energy ... -84.622 eV/cell
Crystal system ... trigonal

=====

Entry 10:
Compound: SrNpIn2Cl8
Source: Alexandria via LeMat-Bulk
Functional: PBE
Structure: relaxed

Lattice parameters (Å, degrees): 7.0118 7.1092 8.7253 90.00 90.00 92.98
Last column: magnetic moment on the atom in μB.
Fractional coordinates of all 12 atoms:
Sr 0.0000 0.0000 0.5000  0.00
Np 0.0000 0.0000 0.0000  3.18
In 0.4999 0.5000 0.7453  -0.01
In 0.5001 0.5000 0.2547  -0.01
Cl 0.1355 0.7930 0.2264  -0.02
Cl 0.6880 0.7953 0.0000  -0.04
Cl 0.8645 0.2070 0.2263  -0.02
Cl 0.8645 0.2070 0.7736  -0.02
Cl 0.3120 0.2047 0.0000  -0.04
Cl 0.1355 0.7930 0.7737  -0.02
Cl 0.6730 0.7358 0.5000  -0.01
Cl 0.3270 0.2642 0.5000  -0.01

Calculated values
Energy ... -53.698 eV/cell
Crystal system ... monoclinic

=====

Entry 11:
Compound: NpTlInCl6
Source: Alexandria via LeMat-Bulk
Functional: PBE
Structure: relaxed

Lattice parameters (Å, degrees): 7.0479 7.0479 13.5387 90.00 90.00 90.00
Last column: magnetic moment on the atom in μB.
Fractional coordinates of all 18 atoms:
Np 0.5000 0.5000 0.8331  3.15
Np 0.0000 0.0000 0.3331  3.15
Tl 0.5000 0.5000 0.4983  0.00
Tl 0.0000 0.0000 0.9983  0.00
In 0.5000 0.5000 0.1659  -0.01
In 0.0000 0.0000 0.6659  -0.01
Cl 0.1776 0.8224 0.4771  -0.03
Cl 0.8224 0.1776 0.4771  -0.03
Cl 0.3224 0.3224 0.9771  -0.03
Cl 0.6776 0.6776 0.9771  -0.03
Cl 0.1826 0.8174 0.1930  -0.03
Cl 0.8174 0.1826 0.1930  -0.03
Cl 0.3174 0.3174 0.6930  -0.03
Cl 0.6826 0.6826 0.6930  -0.03
Cl 0.7623 0.2377 0.8312  -0.03
Cl 0.2377 0.7623 0.8312  -0.03
Cl 0.7377 0.7377 0.3312  -0.03
Cl 0.2623 0.2623 0.3312  -0.03

Calculated values
Energy ... -82.697 eV/cell
Crystal system ... tetragonal

=====

Entry 12:
Compound: NpTlIn2Cl6
Source: Alexandria via LeMat-Bulk
Functional: PBE
Structure: relaxed

Lattice parameters (Å, degrees): 8.0631 7.8526 7.6901 120.70 117.32 90.00
Last column: magnetic moment on the atom in μB.
Fractional coordinates of all 10 atoms:
Np 0.0000 0.5000 0.0000  3.95
Tl 0.5000 0.0000 0.0000  0.00
In 0.2085 0.2472 0.4944  0.00
In 0.7915 0.7528 0.5056  0.00
Cl 0.3465 0.7148 0.4296  -0.02
Cl 0.1485 0.1788 0.8344  -0.01
Cl 0.8515 0.3444 0.1656  -0.01
Cl 0.1485 0.6556 0.8344  -0.01
Cl 0.8515 0.8212 0.1656  -0.01
Cl 0.6535 0.2852 0.5704  -0.02

Calculated values
Energy ... -44.008 eV/cell
Crystal system ... monoclinic

=====

Entry 13:
Compound: NpTlIn2Cl8
Source: Alexandria via LeMat-Bulk
Functional: PBE
Structure: relaxed

Lattice parameters (Å, degrees): 7.0681 6.7143 9.0582 89.97 90.01 89.65
Last column: magnetic moment on the atom in μB.
Fractional coordinates of all 12 atoms:
Np 0.0000 0.0000 0.0000  2.89
Tl 0.0000 0.0000 0.5000  -0.01
In 0.5002 0.5000 0.7369  -0.07
In 0.4998 0.5000 0.2631  -0.07
Cl 0.1452 0.7754 0.2040  -0.06
Cl 0.7045 0.7834 0.9999  -0.07
Cl 0.8547 0.2245 0.2038  -0.06
Cl 0.8548 0.2246 0.7960  -0.06
Cl 0.2955 0.2166 0.0001  -0.07
Cl 0.1453 0.7755 0.7962  -0.06
Cl 0.6487 0.7092 0.4999  -0.04
Cl 0.3513 0.2908 0.5001  -0.04

Calculated values
Energy ... -49.901 eV/cell
Crystal system ... monoclinic

=====

Entry 14:
Compound: In2ClO
Source: Alexandria via LeMat-Bulk
Functional: PBE
Structure: relaxed

Lattice parameters (Å, degrees): 4.8931 4.8931 4.8931 60.00 60.00 60.00
Fractional coordinates of all 4 atoms:
Cl 0.5000 0.5000 0.5000
O 0.0000 0.0000 0.0000
In 0.2500 0.2500 0.2500
In 0.7500 0.7500 0.7500

Calculated values
Energy ... -13.239 eV/cell
Crystal system ... cubic

=====

Entry 15:
Compound: InCl3O
Source: Alexandria via LeMat-Bulk
Functional: PBE
Structure: relaxed

Lattice parameters (Å, degrees): 4.6558 4.6558 4.6558 90.00 90.00 90.00
Fractional coordinates of all 5 atoms:
Cl 0.0000 0.5000 0.0000
Cl 0.0000 0.0000 0.5000
Cl 0.5000 0.0000 0.0000
O 0.0000 0.0000 0.0000
In 0.5000 0.5000 0.5000

Calculated values
Energy ... -12.520 eV/cell
Crystal system ... cubic

=====

Entry 16:
Compound: In2ClO2
Source: Alexandria via LeMat-Bulk
Functional: PBE
Structure: relaxed

Lattice parameters (Å, degrees): 7.5222 7.5222 7.2361 121.32 121.32 90.00
Fractional coordinates of all 10 atoms:
In 0.4364 0.6439 0.8727
In 0.4788 0.1864 0.3727
In 0.8939 0.1864 0.3727
In 0.4364 0.2288 0.8727
Cl 0.0385 0.0385 0.0770
Cl 0.2885 0.7885 0.5770
O 0.6347 0.9469 0.2695
O 0.5726 0.3847 0.7695
O 0.1969 0.3847 0.7695
O 0.6347 0.3226 0.2695

Calculated values
Energy ... -44.864 eV/cell
Crystal system ... tetragonal

=====

Entry 17:
Compound: InCl3O
Source: Alexandria via LeMat-Bulk
Functional: PBE
Structure: relaxed

Lattice parameters (Å, degrees): 5.0984 5.0984 5.0984 90.00 90.00 90.00
Last column: magnetic moment on the atom in μB.
Fractional coordinates of all 5 atoms:
Cl 0.0000 0.5000 0.0000  0.02
Cl 0.0000 0.0000 0.5000  0.05
Cl 0.5000 0.0000 0.0000  0.04
O 0.5000 0.5000 0.5000  1.54
In 0.0000 0.0000 0.0000  0.00

Calculated values
Energy ... -13.541 eV/cell
Crystal system ... cubic

=====

Entry 18:
Compound: In3Cl7O
Source: Alexandria via LeMat-Bulk
Functional: PBE
Structure: relaxed

Lattice parameters (Å, degrees): 6.5632 7.3348 7.3348 120.00 90.00 90.00
Last column: magnetic moment on the atom in μB.
Fractional coordinates of all 11 atoms:
In 0.7671 0.4889 0.5111  0.00
In 0.7671 0.4889 0.9777  0.00
In 0.7671 0.0223 0.5111  0.00
Cl 0.0030 0.1669 0.8331  0.01
Cl 0.0030 0.1669 0.3339  0.01
Cl 0.9948 0.6667 0.3333  0.00
Cl 0.5569 0.8284 0.1716  0.00
Cl 0.5569 0.3432 0.1716  0.00
Cl 0.5569 0.8284 0.6568  0.00
Cl 0.0030 0.6661 0.8331  0.01
O 0.6396 0.3333 0.6667  0.06

Calculated values
Energy ... -38.404 eV/cell
Crystal system ... trigonal

=====

Entry 19:
Compound: In2ClO
Source: Alexandria via LeMat-Bulk
Functional: PBE
Structure: relaxed

Lattice parameters (Å, degrees): 7.0324 7.0324 6.2403 55.70 55.70 90.00
Fractional coordinates of all 8 atoms:
Cl 0.0000 0.0000 0.0000
Cl 0.7500 0.2500 0.5000
O 0.5000 0.5000 0.0000
O 0.2500 0.7500 0.5000
In 0.5419 0.1250 0.2500
In 0.2081 0.6250 0.2500
In 0.3750 0.4581 0.7500
In 0.8750 0.7919 0.7500

Calculated values
Energy ... -30.074 eV/cell
Crystal system ... tetragonal

=====

Entry 20:
Compound: InPClO4
Source: Alexandria via LeMat-Bulk
Functional: PBE
Structure: relaxed

Lattice parameters (Å, degrees): 5.9192 5.9192 6.3374 80.84 80.84 70.08
Last column: magnetic moment on the atom in μB.
Fractional coordinates of all 14 atoms:
In 0.2479 0.2479 0.8556  -0.01
In 0.7521 0.7521 0.1444  -0.01
P 0.6394 0.6394 0.7325  -0.01
P 0.3606 0.3606 0.2675  -0.01
Cl 0.9971 0.9971 0.2444  0.12
Cl 0.0029 0.0029 0.7556  0.12
O 0.3025 0.3025 0.5084  0.18
O 0.6975 0.6975 0.4916  0.18
O 0.1258 0.4762 0.1504  0.08
O 0.5210 0.5210 0.2256  0.19
O 0.5238 0.8742 0.8496  0.08
O 0.4762 0.1258 0.1504  0.08
O 0.4790 0.4790 0.7744  0.19
O 0.8742 0.5238 0.8496  0.08

Calculated values
Energy ... -80.354 eV/cell
Crystal system ... monoclinic